#1
## Na2SrSi2 (PBE)

Data for a geometry-optimized Na2SrSi2 structure.

Cell: 13.464 13.464 13.464 Å, 161.17 160.16 27.49°
Element x y z (fractional)
Na  0.189  0.439  0.750
Na  0.310  0.060  0.250
Na  0.690  0.940  0.750
Na  0.811  0.561  0.250
Sr  0.069  0.819  0.250
Sr  0.931  0.181  0.750
Si  0.388  0.638  0.750
Si  0.476  0.726  0.750
Si  0.524  0.274  0.250
Si  0.612  0.362  0.250

=====

#2
## Na2SrSi2 (PBE)

Data for a geometry-optimized Na2SrSi2 structure.

Cell: 7.806 7.806 4.780 Å, 90.00 90.00 90.00°
Element x y z (fractional)
Na  0.162  0.338  0.000
Na  0.338  0.838  0.000
Na  0.662  0.162  0.000
Na  0.838  0.662  0.000
Sr  0.000  0.000  0.500
Sr  0.500  0.500  0.500
Si  0.102  0.602  0.500
Si  0.398  0.102  0.500
Si  0.602  0.898  0.500
Si  0.898  0.398  0.500

=====

#3
## Na2SrSi2 (PBE)

Data for a geometry-optimized Na2SrSi2 structure.

Cell: 4.520 4.520 12.964 Å, 90.00 90.00 90.00°
Element x y z (fractional)
Na  0.000  0.500  0.250
Na  0.000  0.500  0.750
Na  0.500  0.000  0.250
Na  0.500  0.000  0.750
Sr  0.000  0.000  0.000
Sr  0.500  0.500  0.500
Si  0.000  0.000  0.412
Si  0.000  0.000  0.588
Si  0.500  0.500  0.088
Si  0.500  0.500  0.912

=====

#4
## Na2SrSi2 (PBE)

Data for a geometry-optimized Na2SrSi2 structure.

Cell: 8.685 8.685 3.152 Å, 90.00 90.00 90.00°
Element x y z (fractional)
Na  0.114  0.386  0.000
Na  0.386  0.886  0.000
Na  0.614  0.114  0.000
Na  0.886  0.614  0.000
Sr  0.000  0.000  0.000
Sr  0.500  0.500  0.000
Si  0.184  0.684  0.500
Si  0.316  0.184  0.500
Si  0.684  0.816  0.500
Si  0.816  0.316  0.500

=====

Most stable structure - #1; separation to the second - 10 meV per atom.

=====

#1
## NaSrSi2 (PBE)

Data for a geometry-optimized NaSrSi2 structure.

Cell: 4.856 4.856 19.301 Å, 90.00 90.00 90.00°
Element x y z (fractional)
Na  0.000  0.000  0.000
Na  0.000  0.500  0.250
Na  0.500  0.000  0.750
Na  0.500  0.500  0.500
Sr  0.000  0.000  0.500
Sr  0.000  0.500  0.750
Sr  0.500  0.000  0.250
Sr  0.500  0.500  0.000
Si  0.055  0.250  0.125
Si  0.250  0.555  0.375
Si  0.250  0.945  0.875
Si  0.445  0.250  0.625
Si  0.555  0.750  0.625
Si  0.750  0.055  0.875
Si  0.750  0.445  0.375
Si  0.945  0.750  0.125

=====

#2
## NaSrSi2 (PBE)

Data for a geometry-optimized NaSrSi2 structure.

Cell: 6.991 4.667 12.661 Å, 90.00 90.00 90.00°
Element x y z (fractional)
Na  0.151  0.250  0.047
Na  0.349  0.750  0.547
Na  0.651  0.250  0.453
Na  0.849  0.750  0.953
Sr  0.146  0.250  0.340
Sr  0.354  0.750  0.840
Sr  0.646  0.250  0.160
Sr  0.854  0.750  0.660
Si  0.023  0.250  0.825
Si  0.183  0.250  0.659
Si  0.317  0.750  0.159
Si  0.477  0.750  0.325
Si  0.523  0.250  0.675
Si  0.683  0.250  0.841
Si  0.817  0.750  0.341
Si  0.977  0.750  0.175

=====

#3
## NaSrSi2 (PBE)

Data for a geometry-optimized NaSrSi2 structure.

Cell: 7.314 7.314 7.314 Å, 90.00 90.00 90.00°
Element x y z (fractional)
Na  0.000  0.000  0.000
Na  0.000  0.500  0.500
Na  0.500  0.000  0.500
Na  0.500  0.500  0.000
Sr  0.000  0.000  0.500
Sr  0.000  0.500  0.000
Sr  0.500  0.000  0.000
Sr  0.500  0.500  0.500
Si  0.250  0.250  0.250
Si  0.250  0.250  0.750
Si  0.250  0.750  0.250
Si  0.250  0.750  0.750
Si  0.750  0.250  0.250
Si  0.750  0.250  0.750
Si  0.750  0.750  0.250
Si  0.750  0.750  0.750

=====

Most stable structure - #2; separation to the second - 434 meV per atom.